Entry P
VASP calculation (PBE) on an optimized crystal structure of LuGePO. Values from VASP.

Quantum ESPRESSO input file:
```
&SYSTEM
  ibrav = 0, nat = 8, ntyp = 4
/
ATOMIC_SPECIES
Lu 174.97 Lu.upf
Ge 72.64 Ge.upf
P 30.97 P.upf
O 16.00 O.upf
CELL_PARAMETERS angstrom
4.175 0.000 0.000
0.000 5.406 0.000
0.000 0.000 5.985
ATOMIC_POSITIONS angstrom
Lu 0.000 1.253 0.000
Lu 0.000 4.153 2.992
Ge 2.087 1.948 2.347
Ge 2.087 3.458 5.340
P 2.087 0.385 4.267
P 2.087 5.021 1.274
O 0.000 2.273 1.897
O 0.000 3.133 4.890
```

## Properties
calculated density: 7.2 g/cm3

***

Entry Q
VASP calculation (PBE) on an optimized crystal structure of LuGePO. Values from VASP.

Quantum ESPRESSO input file:
```
&SYSTEM
  ibrav = 0, nat = 8, ntyp = 4
/
ATOMIC_SPECIES
Lu 174.97 Lu.upf
Ge 72.64 Ge.upf
P 30.97 P.upf
O 16.00 O.upf
CELL_PARAMETERS angstrom
5.375 0.000 0.000
0.000 5.375 0.000
0.000 0.000 4.725
ATOMIC_POSITIONS angstrom
Lu 1.344 4.031 0.000
Lu 4.031 1.344 0.000
Ge 1.344 1.344 2.326
Ge 4.031 4.031 2.399
P 1.344 1.344 4.691
P 4.031 4.031 0.035
O 1.344 4.031 2.363
O 4.031 1.344 2.363
```

## Properties
calculated density: 7.2 g/cm3

***

The structure with the greatest stability is entry P.

***

Entry P
VASP calculation (PBE) on an optimized crystal structure of Lu2SiGeOs. Values from VASP.

Quantum ESPRESSO input file:
```
&SYSTEM
  ibrav = 0, nat = 10, ntyp = 4
/
ATOMIC_SPECIES
Lu 174.97 Lu.upf
Si 28.09 Si.upf
Ge 72.64 Ge.upf
Os 190.23 Os.upf
CELL_PARAMETERS angstrom
5.228 -2.094 0.000
5.228 2.094 0.000
-4.660 0.000 8.752
ATOMIC_POSITIONS angstrom
Lu -0.751 0.000 1.515
Lu -0.938 0.000 5.401
Lu 6.734 0.000 3.351
Lu 6.546 0.000 7.237
Si -0.618 0.000 8.230
Si 6.414 0.000 0.522
Ge 2.144 0.000 5.461
Ge 3.652 0.000 3.291
Os 2.192 0.000 1.105
Os 3.603 0.000 7.647
```

## Properties
calculated density: 11.1 g/cm3

***

Entry Q
VASP calculation (PBE) on an optimized crystal structure of Lu2SiGeOs. Values from VASP.

Quantum ESPRESSO input file:
```
&SYSTEM
  ibrav = 0, nat = 10, ntyp = 4
/
ATOMIC_SPECIES
Lu 174.97 Lu.upf
Si 28.09 Si.upf
Ge 72.64 Ge.upf
Os 190.23 Os.upf
CELL_PARAMETERS angstrom
5.266 -2.128 0.000
5.266 2.128 0.000
-4.610 0.000 8.645
ATOMIC_POSITIONS angstrom
Lu -0.773 0.000 1.556
Lu -0.883 0.000 5.265
Lu 6.805 0.000 3.380
Lu 6.694 0.000 7.089
Si 2.326 0.000 5.385
Si 3.596 0.000 3.260
Ge -0.529 0.000 8.099
Ge 6.451 0.000 0.546
Os 2.242 0.000 1.180
Os 3.679 0.000 7.465
```

## Properties
calculated density: 11.0 g/cm3

***

The structure with the greatest stability is entry P.

***

Entry P
VASP calculation (PBE) on an optimized crystal structure of TmLuSiGeOs. Values from VASP.

Quantum ESPRESSO input file:
```
&SYSTEM
  ibrav = 0, nat = 10, ntyp = 5
/
ATOMIC_SPECIES
Tm 168.93 Tm.upf
Lu 174.97 Lu.upf
Si 28.09 Si.upf
Ge 72.64 Ge.upf
Os 190.23 Os.upf
CELL_PARAMETERS angstrom
5.277 -2.131 0.000
5.277 2.131 0.000
-4.631 0.000 8.682
ATOMIC_POSITIONS angstrom
Tm 1.430 0.000 0.949
Tm 4.494 0.000 7.733
Lu -3.099 0.000 5.895
Lu 9.023 0.000 2.787
Si 4.639 0.000 1.069
Si 1.285 0.000 7.614
Ge 1.770 0.000 3.796
Ge 4.154 0.000 4.886
Os -0.063 0.000 5.525
Os 5.987 0.000 3.157
```

## Properties
calculated density: 10.8 g/cm3

***

Entry Q
VASP calculation (PBE) on an optimized crystal structure of TmLuSiGeOs. Values from VASP.

Quantum ESPRESSO input file:
```
&SYSTEM
  ibrav = 0, nat = 10, ntyp = 5
/
ATOMIC_SPECIES
Tm 168.93 Tm.upf
Lu 174.97 Lu.upf
Si 28.09 Si.upf
Ge 72.64 Ge.upf
Os 190.23 Os.upf
CELL_PARAMETERS angstrom
5.296 -2.130 0.000
5.296 2.130 0.000
-4.659 0.000 8.668
ATOMIC_POSITIONS angstrom
Tm -0.777 0.000 1.564
Tm 6.709 0.000 7.104
Lu -0.908 0.000 5.278
Lu 6.841 0.000 3.390
Si 2.331 0.000 5.395
Si 3.601 0.000 3.274
Ge -0.566 0.000 8.122
Ge 6.498 0.000 0.546
Os 2.258 0.000 1.188
Os 3.674 0.000 7.480
```

## Properties
calculated density: 10.8 g/cm3

***

The structure with the greatest stability is entry P.

***

Entry P
VASP calculation (PBE) on an optimized crystal structure of TmLuSiGeOs. Values from VASP.

Quantum ESPRESSO input file:
```
&SYSTEM
  ibrav = 0, nat = 10, ntyp = 5
/
ATOMIC_SPECIES
Tm 168.93 Tm.upf
Lu 174.97 Lu.upf
Si 28.09 Si.upf
Ge 72.64 Ge.upf
Os 190.23 Os.upf
CELL_PARAMETERS angstrom
5.252 -2.099 0.000
5.252 2.099 0.000
-4.700 0.000 8.778
ATOMIC_POSITIONS angstrom
Tm -0.751 0.000 1.529
Tm 6.555 0.000 7.249
Lu -0.956 0.000 5.415
Lu 6.760 0.000 3.363
Si -0.650 0.000 8.253
Si 6.454 0.000 0.525
Ge 2.152 0.000 5.473
Ge 3.652 0.000 3.305
Os 2.206 0.000 1.105
Os 3.598 0.000 7.673
```

## Properties
calculated density: 10.9 g/cm3

***

Entry Q
VASP calculation (PBE) on an optimized crystal structure of TmLuSiGeOs. Values from VASP.

Quantum ESPRESSO input file:
```
&SYSTEM
  ibrav = 0, nat = 10, ntyp = 5
/
ATOMIC_SPECIES
Tm 168.93 Tm.upf
Lu 174.97 Lu.upf
Si 28.09 Si.upf
Ge 72.64 Ge.upf
Os 190.23 Os.upf
CELL_PARAMETERS angstrom
5.240 -2.099 0.000
5.240 2.099 0.000
-4.667 0.000 8.794
ATOMIC_POSITIONS angstrom
Tm 1.404 0.000 1.025
Tm 4.409 0.000 7.769
Lu -3.089 0.000 5.913
Lu 8.902 0.000 2.881
Si 1.715 0.000 3.874
Si 4.098 0.000 4.920
Ge 4.491 0.000 1.096
Ge 1.322 0.000 7.698
Os -0.136 0.000 5.500
Os 5.949 0.000 3.294
```

## Properties
calculated density: 10.9 g/cm3

***

The structure with the greatest stability is entry Q.

***

Entry P
VASP calculation (PBE) on an optimized crystal structure of TmLuGe2Os. Values from VASP.

Quantum ESPRESSO input file:
```
&SYSTEM
  ibrav = 0, nat = 10, ntyp = 4
/
ATOMIC_SPECIES
Tm 168.93 Tm.upf
Lu 174.97 Lu.upf
Ge 72.64 Ge.upf
Os 190.23 Os.upf
CELL_PARAMETERS angstrom
5.305 -2.136 0.000
5.305 2.136 0.000
-4.651 0.000 8.821
ATOMIC_POSITIONS angstrom
Tm 1.411 0.000 1.017
Tm 4.549 0.000 7.804
Lu -3.099 0.000 5.950
Lu 9.059 0.000 2.871
Ge 1.776 0.000 3.869
Ge 4.566 0.000 1.093
Ge 1.394 0.000 7.728
Ge 4.184 0.000 4.952
Os -0.085 0.000 5.584
Os 6.045 0.000 3.237
```

## Properties
calculated density: 11.3 g/cm3

***

Entry Q
VASP calculation (PBE) on an optimized crystal structure of TmLuGe2Os. Values from VASP.

Quantum ESPRESSO input file:
```
&SYSTEM
  ibrav = 0, nat = 10, ntyp = 4
/
ATOMIC_SPECIES
Tm 168.93 Tm.upf
Lu 174.97 Lu.upf
Ge 72.64 Ge.upf
Os 190.23 Os.upf
CELL_PARAMETERS angstrom
5.308 -2.134 0.000
5.308 2.134 0.000
-4.661 0.000 8.800
ATOMIC_POSITIONS angstrom
Tm -0.774 0.000 1.541
Tm 6.729 0.000 7.259
Lu -0.924 0.000 5.415
Lu 6.878 0.000 3.385
Ge -0.560 0.000 8.256
Ge 2.239 0.000 5.486
Ge 3.716 0.000 3.314
Ge 6.515 0.000 0.544
Os 2.241 0.000 1.174
Os 3.714 0.000 7.625
```

## Properties
calculated density: 11.3 g/cm3

***

The structure with the greatest stability is entry P.

***

Entry P
VASP calculation (PBE) on an optimized crystal structure of LuTlGeS3. Values from VASP.

Quantum ESPRESSO input file:
```
&SYSTEM
  ibrav = 0, nat = 12, ntyp = 4
/
ATOMIC_SPECIES
Lu 174.97 Lu.upf
Tl 204.38 Tl.upf
Ge 72.64 Ge.upf
S 32.06 S.upf
CELL_PARAMETERS angstrom
1.916 -7.684 0.000
1.916 7.684 0.000
0.000 0.000 10.715
ATOMIC_POSITIONS angstrom
Lu 0.000 0.000 0.000
Lu 0.000 0.000 5.358
Tl 1.916 3.133 8.036
Tl 1.916 -3.133 2.679
Ge 1.916 1.832 2.679
Ge 1.916 -1.832 8.036
S 1.916 7.451 8.036
S 1.916 1.842 0.021
S 1.916 1.842 5.337
S 1.916 -1.842 5.378
S 1.916 -1.842 10.694
S 1.916 -7.451 2.679
```

## Properties
calculated density: 5.8 g/cm3

***

Entry Q
VASP calculation (PBE) on an optimized crystal structure of LuTlGeS3. Values from VASP.

Quantum ESPRESSO input file:
```
&SYSTEM
  ibrav = 0, nat = 12, ntyp = 4
/
ATOMIC_SPECIES
Lu 174.97 Lu.upf
Tl 204.38 Tl.upf
Ge 72.64 Ge.upf
S 32.06 S.upf
CELL_PARAMETERS angstrom
8.234 0.000 0.000
0.000 3.840 0.000
-3.165 0.000 10.063
ATOMIC_POSITIONS angstrom
Lu 0.649 0.960 1.546
Lu 4.419 2.880 8.517
Tl -0.146 2.880 7.341
Tl 5.215 0.960 2.721
Ge 1.569 2.880 4.402
Ge 3.499 0.960 5.661
S -1.995 0.960 9.002
S -0.007 0.960 4.161
S 2.423 2.880 2.199
S 2.645 0.960 7.863
S 5.075 2.880 5.902
S 7.063 2.880 1.061
```

## Properties
calculated density: 5.7 g/cm3

***

The structure with the greatest stability is entry Q.